Version one
A plane-wave DFT calculation with PBE was carried out for crystalline Pm12Ho2Er5 at its relaxed geometry.

Cell lengths 11.6405, 11.6405, 8.7072 Å; angles 108.98, 108.98, 35.42 degrees
Last column: nearest neighbours and their distance in Å.
Positions (direct):
Pm: 0.9471 0.4528 0.7936  7 Pm 3.46-3.69, 4 Er 3.53-3.64
Pm: 0.5472 0.0529 0.2064  7 Pm 3.46-3.69, 4 Er 3.53-3.64
Pm: 0.0529 0.5472 0.2064  7 Pm 3.46-3.69, 4 Er 3.53-3.64
Pm: 0.4519 0.4519 0.3062  5 Pm 3.32-3.69, 1 Er 3.46, 2 Ho 3.63
Pm: 0.4528 0.9471 0.7936  7 Pm 3.46-3.69, 4 Er 3.53-3.64
Pm: 0.8506 0.3622 0.3846  1 Ho 3.37, 4 Er 3.39-3.49, 5 Pm 3.46-3.69
Pm: 0.8557 0.8557 0.9347  6 Pm 3.51-3.69, 3 Er 3.55-3.65, 2 Ho 3.55
Pm: 0.6378 0.1494 0.6154  1 Ho 3.37, 4 Er 3.39-3.49, 5 Pm 3.46-3.69
Pm: 0.5481 0.5481 0.6938  5 Pm 3.32-3.69, 1 Er 3.46, 2 Ho 3.63
Pm: 0.3622 0.8506 0.3846  1 Ho 3.37, 4 Er 3.39-3.49, 5 Pm 3.46-3.69
Pm: 0.1443 0.1443 0.0653  6 Pm 3.51-3.69, 3 Er 3.55-3.65, 2 Ho 3.55
Pm: 0.1494 0.6378 0.6154  1 Ho 3.37, 4 Er 3.39-3.49, 5 Pm 3.46-3.69
Er: 0.7508 0.7508 0.5072  9 Pm 3.47-3.65, 3 Er 3.51-3.54
Er: 0.3496 0.3496 0.9038  9 Pm 3.45-3.63, 1 Er 3.51, 2 Ho 3.59
Er: 0.6504 0.6504 0.0962  9 Pm 3.45-3.63, 1 Er 3.51, 2 Ho 3.59
Er: 0.2492 0.2492 0.4928  9 Pm 3.47-3.65, 3 Er 3.51-3.54
Er: 0.0000 0.0000 0.5000  4 Pm 3.39
Ho: 0.2569 0.7431 0.0000  6 Pm 3.37-3.63, 2 Ho 3.44-3.64, 2 Er 3.59
Ho: 0.7431 0.2569 0.0000  6 Pm 3.37-3.63, 2 Ho 3.44-3.64, 2 Er 3.59

As for the total magnetic moment: 0.000 μB per atom. Its symmetry is No. 12.

Version two
A plane-wave DFT calculation with PBE was carried out for crystalline Pm12Ho2Er5 at its relaxed geometry.

Cell lengths 11.6729, 10.6624, 6.1982 Å; angles 100.44, 90.00, 123.19 degrees
Last column: nearest neighbours and their distance in Å.
Positions (direct):
Er: 0.6777 0.3554 0.8598  9 Pm 3.43-3.81, 2 Er 3.51-3.72
Er: 0.7842 0.5683 0.4456  8 Pm 3.43-3.70, 3 Er 3.51-3.79
Er: 0.3223 0.6446 0.1402  9 Pm 3.43-3.81, 2 Er 3.51-3.72
Er: 0.0000 0.0000 0.5000  6 Pm 3.37-3.43
Er: 0.2158 0.4317 0.5544  8 Pm 3.43-3.70, 3 Er 3.51-3.79
Pm: 0.5562 0.1125 0.2737  6 Pm 3.55-3.88, 2 Ho 3.61, 2 Er 3.70-3.81
Pm: 0.3519 0.2074 0.6164  1 Ho 3.32, 5 Pm 3.37-3.67, 3 Er 3.43-3.59
Pm: 0.5454 0.6062 0.8014  5 Pm 3.37-3.63, 3 Er 3.43-3.70, 1 Ho 3.48
Pm: 0.1445 0.7926 0.3836  1 Ho 3.32, 5 Pm 3.37-3.67, 3 Er 3.43-3.59
Pm: 0.8555 0.2074 0.6164  1 Ho 3.32, 5 Pm 3.37-3.67, 3 Er 3.43-3.59
Pm: 0.8801 0.7602 0.9976  4 Er 3.37-3.56, 4 Pm 3.42-3.73, 2 Ho 3.44
Pm: 0.4438 0.8875 0.7263  6 Pm 3.55-3.88, 2 Ho 3.61, 2 Er 3.70-3.81
Pm: 0.0608 0.6062 0.8014  5 Pm 3.37-3.63, 3 Er 3.43-3.70, 1 Ho 3.48
Pm: 0.1199 0.2398 0.0024  4 Er 3.37-3.56, 4 Pm 3.42-3.73, 2 Ho 3.44
Pm: 0.4546 0.3938 0.1986  5 Pm 3.37-3.63, 3 Er 3.43-3.70, 1 Ho 3.48
Pm: 0.6481 0.7926 0.3836  1 Ho 3.32, 5 Pm 3.37-3.67, 3 Er 3.43-3.59
Pm: 0.9392 0.3938 0.1986  5 Pm 3.37-3.63, 3 Er 3.43-3.70, 1 Ho 3.48
Ho: 0.7692 0.0000 0.0000  8 Pm 3.32-3.61
Ho: 0.2308 0.0000 0.0000  8 Pm 3.32-3.61

As for the total magnetic moment: 0.000 μB per atom. Its symmetry is No. 12.

Stability summary - winner: version two; margin: 0.035 eV/atom.

Version one
A plane-wave DFT calculation with PBE was carried out for crystalline PmHo4Er5 at its relaxed geometry.

Cell lengths 6.2643, 7.8174, 7.8174 Å; angles 80.76, 66.38, 66.38 degrees
Last column: nearest neighbours and their distance in Å.
Positions (direct):
Ho: 0.4023 0.3992 0.7014  4 Er 3.21-3.49, 1 Ho 3.23
Ho: 0.1038 0.2986 0.3992  4 Er 3.21-3.49, 1 Ho 3.23
Ho: 0.5029 0.6008 0.2986  4 Er 3.21-3.49, 1 Ho 3.23
Ho: 0.8015 0.7014 0.6008  4 Er 3.21-3.49, 1 Ho 3.23
Er: 0.0934 0.6224 0.0896  4 Ho 3.21-3.49, 1 Er 3.25, 1 Pm 3.27
Er: 0.8053 0.3776 0.9104  4 Ho 3.21-3.49, 1 Er 3.25, 1 Pm 3.27
Er: 0.1829 0.9104 0.6224  4 Ho 3.21-3.49, 1 Er 3.25, 1 Pm 3.27
Er: 0.7158 0.0896 0.3776  4 Ho 3.21-3.49, 1 Er 3.25, 1 Pm 3.27
Er: 0.6795 0.0000 0.0000  1 Pm 2.86
Pm: 0.2228 0.0000 0.0000  1 Er 2.86

As for the total magnetic moment: 0.000 μB per atom. Its symmetry is No. 79.

Version two
A plane-wave DFT calculation with PBE was carried out for crystalline PmHo4Er5 at its relaxed geometry.

Cell lengths 3.5304, 7.0463, 14.9444 Å; angles 103.62, 90.04, 120.05 degrees
Last column: nearest neighbours and their distance in Å.
Positions (direct):
Er: 0.8989 0.3991 0.5992  9 Er 3.50-3.53, 3 Ho 3.50-3.51
Er: 0.1010 0.1010 0.4011  9 Er 3.50-3.53, 3 Ho 3.51-3.52
Er: 0.1011 0.6009 0.4008  9 Er 3.50-3.53, 3 Ho 3.50-3.51
Er: 0.5000 0.5000 0.0000  4 Pm 3.52, 2 Er 3.53, 6 Ho 3.54-3.55
Er: 0.8990 0.8990 0.5989  9 Er 3.50-3.53, 3 Ho 3.51-3.52
Pm: 0.5000 0.0000 0.0000  4 Er 3.52, 2 Pm 3.53, 6 Ho 3.54-3.55
Ho: 0.6984 0.6981 0.7975  4 Er 3.50-3.55, 6 Ho 3.52-3.53, 2 Pm 3.55
Ho: 0.6994 0.1990 0.7982  5 Er 3.51-3.55, 6 Ho 3.52-3.53, 1 Pm 3.54
Ho: 0.3006 0.8010 0.2018  5 Er 3.51-3.55, 6 Ho 3.52-3.53, 1 Pm 3.54
Ho: 0.3016 0.3019 0.2025  4 Er 3.50-3.55, 6 Ho 3.52-3.53, 2 Pm 3.55

As for the total magnetic moment: 0.000 μB per atom. Its symmetry is No. 10.

Stability summary - winner: version two; margin: 0.286 eV/atom.